## NaTi3Fe (meta-GGA SCAN)

Data for a PBEsol-optimized structure of NaTi3Fe.

Structure (CIF):
```
data_NaTi3Fe
_chemical_formula_sum 'Na1 Ti3 Fe1'
_cell_length_a 4.553
_cell_length_b 4.553
_cell_length_c 4.553
_cell_angle_alpha 90.00
_cell_angle_beta 90.00
_cell_angle_gamma 90.00
_space_group_name_H-M_alt 'P 1'
_space_group_IT_number 1
loop_
_space_group_symop_operation_xyz
'x,y,z'
loop_
_atom_site_label
_atom_site_type_symbol
_atom_site_fract_x
_atom_site_fract_y
_atom_site_fract_z
_atom_site_occupancy
Na1 Na 0.500 0.500 0.500 1
Fe1 Fe 0.000 0.000 0.000 1
Ti1 Ti 0.000 0.500 0.000 1
Ti2 Ti 0.000 0.000 0.500 1
Ti3 Ti 0.500 0.000 0.000 1
```

## Properties
DFT total energy, eV per atom: -13.60
Space-group type: No. 221

=====

## Si2AsPt (meta-GGA SCAN)

Data for a PBEsol-optimized structure of Si2AsPt.

Structure (CIF):
```
data_Si2AsPt
_chemical_formula_sum 'Si2 As1 Pt1'
_cell_length_a 2.790
_cell_length_b 3.217
_cell_length_c 6.870
_cell_angle_alpha 90.00
_cell_angle_beta 90.00
_cell_angle_gamma 90.00
_space_group_name_H-M_alt 'P 1'
_space_group_IT_number 1
loop_
_space_group_symop_operation_xyz
'x,y,z'
loop_
_atom_site_label
_atom_site_type_symbol
_atom_site_fract_x
_atom_site_fract_y
_atom_site_fract_z
_atom_site_occupancy
As1 As 0.500 0.500 0.000 1
Si1 Si 0.000 0.000 0.726 1
Si2 Si 0.000 0.000 0.274 1
Pt1 Pt 0.500 0.500 0.500 1
```

## Properties
DFT total energy, eV per atom: -27.49
Formation energy without anion corrections, eV/atom: 0.112
Space-group type: No. 47

=====

## BaPtO3 (meta-GGA SCAN)

Data for a PBEsol-optimized structure of BaPtO3.

Structure (CIF):
```
data_BaPtO3
_chemical_formula_sum 'Ba2 Pt2 O6'
_cell_length_a 5.510
_cell_length_b 5.641
_cell_length_c 5.641
_cell_angle_alpha 120.00
_cell_angle_beta 90.00
_cell_angle_gamma 90.00
_space_group_name_H-M_alt 'P 1'
_space_group_IT_number 1
loop_
_space_group_symop_operation_xyz
'x,y,z'
loop_
_atom_site_label
_atom_site_type_symbol
_atom_site_fract_x
_atom_site_fract_y
_atom_site_fract_z
_atom_site_occupancy
O1 O 0.750 0.847 0.694 1
O2 O 0.250 0.153 0.847 1
O3 O 0.250 0.694 0.847 1
O4 O 0.750 0.306 0.153 1
O5 O 0.250 0.153 0.306 1
O6 O 0.750 0.847 0.153 1
Ba1 Ba 0.250 0.667 0.333 1
Ba2 Ba 0.750 0.333 0.667 1
Pt1 Pt 0.500 0.000 0.000 1
Pt2 Pt 0.000 0.000 0.000 1
```

## Properties
DFT total energy, eV per atom: -27.41
Formation energy without anion corrections, eV/atom: -1.725
Space-group type: No. 194